Entry 1:
The following is a DFT calculation (PBE-GGA) of a relaxed AcSmPb3 crystal.

Computed properties:
* ΔE_f: -1.2 eV/f.u.
* E_tot: -42.318 eV for the cell shown

a b c (Å): 6.9122 6.9161 8.3338
angles (deg): 90.00 114.38 90.00
Last column: nearest neighbours and their distance in Å.
Space group Cm (No. 8)
Asymmetric unit:
Ac  0.0000  0.0000  0.0000  8 Pb 3.46-3.61
Sm  0.1890  0.5000  0.3751  5 Pb 3.07-3.22
Pb  0.0764  0.2498  0.6507  2 Sm 3.22, 6 Pb 3.45-3.46
Pb  0.4852  0.0000  0.9712  1 Sm 3.07

Entry 2:
The following is a DFT calculation (PBE-GGA) of a relaxed Ba3Pr3DySe8 crystal.

Computed properties:
* energy relative to the elements, uncorrected: -1.9401 eV/atom
* E_tot: -245.058 eV for the cell shown

a b c (Å): 8.6778 8.6778 22.7364
angles (deg): 90.00 90.00 120.00
Last column: nearest neighbours and their distance in Å.
Space group R-3m (No. 166, hexagonal axes)
Asymmetric unit:
Ba  0.0000  0.5000  0.0000  6 Se 3.26-3.28
Pr  0.0000  0.5000  0.5000  6 Se 3.02-3.03
Dy  0.0000  0.0000  0.5000  6 Se 2.93
Se  0.0000  0.0000  0.2419  3 Pr 3.03, 3 Ba 3.26
Se  0.0104  0.5052  0.2385  1 Dy 2.93, 2 Pr 3.02, 2 Ba 3.28

Entry 3:
The following is a DFT calculation (PBE-GGA) of a relaxed Cs2HoBeO4 crystal.

Computed properties:
* energy relative to the elements, uncorrected: -1.9124 eV/atom
* E_tot: -361.143 eV for the cell shown

a b c (Å): 5.1214 12.4098 23.9171
angles (deg): 90.00 90.00 90.00
Last column: nearest neighbours and their distance in Å.
Space group Fddd (No. 70, origin choice 2)
Asymmetric unit:
Cs  0.1250  0.1250  0.3011  4 O 3.18-3.45
Ho  0.1250  0.1250  0.1250  4 O 2.11
Be  0.1250  0.1250  0.6250  4 O 1.69
O  0.0645  0.2942  0.8353  1 Be 1.69

Entry 4:
The following is a DFT calculation (PBE-GGA) of a relaxed TbHoPuN3 crystal.

Computed properties:
* energy relative to the elements, uncorrected: -1.0581 eV/atom
* E_tot: -109.729 eV for the cell shown

a b c (Å): 6.9643 3.5778 8.4555
angles (deg): 90.00 96.75 90.00
Last column: nearest neighbours and their distance in Å.
Space group P2_1/m (No. 11)
Asymmetric unit:
Tb  0.1578  0.2500  0.1313  5 N 2.35-2.54
Ho  0.3725  0.7500  0.8470  4 N 2.32-2.43
Pu  0.0535  0.2500  0.5826  4 N 2.17-2.28, 2 Pu 2.34
N  0.0977  0.2500  0.8514  1 Pu 2.26, 1 Tb 2.35
N  0.2301  0.7500  0.5813  3 Pu 2.17-2.28, 1 Ho 2.35
N  0.3892  0.7500  0.1226  3 Ho 2.32-2.43, 2 Tb 2.41

Entry 5:
The following is a DFT calculation (PBE-GGA) of a relaxed KNpCuTe3 crystal.

Computed properties:
* energy relative to the elements, uncorrected: -0.6609 eV/atom
* E_tot: -63.050 eV for the cell shown

a b c (Å): 9.7615 4.3367 10.2014
angles (deg): 90.00 109.19 90.00
Last column: nearest neighbours and their distance in Å.
Space group P2_1/m (No. 11)
Asymmetric unit:
K  0.2041  0.2500  0.2440  7 Te 3.60-3.72
Np  0.3184  0.7500  0.8414  6 Te 3.00-3.10
Cu  0.0804  0.2500  0.5910  4 Te 2.66-2.67, 2 Cu 2.95
Te  0.1071  0.2500  0.8592  1 Cu 2.66
Te  0.2071  0.7500  0.5295  3 Cu 2.67
Te  0.4587  0.7500  0.1616  3 Np 3.08-3.10

Entry 6:
The following is a DFT calculation (PBE-GGA) of a relaxed Al3Cu2Ni3 crystal.

Computed properties:
* ΔE_f: -2.4 eV/f.u.
* E_tot: -39.149 eV for the cell shown

a b c (Å): 6.5438 6.5438 2.7021
angles (deg): 90.00 90.00 120.00
Last column: nearest neighbours and their distance in Å.
Space group P-62m (No. 189)
Asymmetric unit:
Al  0.0000  0.3659  0.0000  4 Cu 2.48, 4 Ni 2.50, 2 Al 2.70
Cu  0.3333  0.6667  0.5000  6 Al 2.48, 3 Ni 2.55, 2 Cu 2.70
Ni  0.0000  0.7609  0.5000  4 Al 2.50, 2 Cu 2.55, 4 Ni 2.70-2.71

Entry 7:
The following is a DFT calculation (PBE-GGA) of a relaxed TbYErTl crystal.

Computed properties:
* ΔE_f: -0.7 eV/f.u.
* E_tot: -18.752 eV for the cell shown

a b c (Å): 4.8277 4.8490 4.8745
angles (deg): 90.00 90.00 90.00
Last column: nearest neighbours and their distance in Å.
Space group Pmmm (No. 47)
Asymmetric unit:
Tb  0.0000  0.0000  0.0000  4 Er 3.42, 4 Y 3.43, 4 Tl 3.44
Y  0.5000  0.0000  0.5000  4 Tl 3.42, 4 Tb 3.43, 4 Er 3.44
Er  0.5000  0.5000  0.0000  4 Tb 3.42, 4 Tl 3.43, 4 Y 3.44
Tl  0.0000  0.5000  0.5000  4 Y 3.42, 4 Er 3.43, 4 Tb 3.44

Entry 8:
The following is a DFT calculation (PBE-GGA) of a relaxed BeCdCl2 crystal.

Computed properties:
* energy relative to the elements, uncorrected: 0.2607 eV/atom
* E_tot: -29.168 eV for the cell shown

a b c (Å): 6.8883 6.8883 6.8883
angles (deg): 90.00 90.00 90.00
Last column: nearest neighbours and their distance in Å.
Space group Fm-3m (No. 225)
Asymmetric unit:
Be  0.0000  0.0000  0.0000  8 Cl 2.98
Cd  0.0000  0.0000  0.5000  8 Cl 2.98
Cl  0.2500  0.2500  0.2500  4 Be 2.98, 4 Cd 2.98

Entry 9:
The following is a DFT calculation (PBE-GGA) of a relaxed Ho5CdRh4 crystal.

Computed properties:
* ΔE_f: -8.0 eV/f.u.
* E_tot: -61.160 eV for the cell shown

a b c (Å): 3.4468 3.4468 17.7236
angles (deg): 90.00 90.00 90.00
Last column: nearest neighbours and their distance in Å.
Space group P4/mmm (No. 123)
Asymmetric unit:
Ho  0.0000  0.0000  0.0000  8 Rh 2.96
Ho  0.0000  0.0000  0.1903  8 Rh 2.96-2.99
Ho  0.0000  0.0000  0.3786  4 Rh 2.92, 4 Cd 3.25
Cd  0.5000  0.5000  0.5000  8 Ho 3.25, 4 Cd 3.45
Rh  0.5000  0.5000  0.0953  8 Ho 2.96
Rh  0.5000  0.5000  0.2880  8 Ho 2.92-2.99

Entry 10:
The following is a DFT calculation (PBE-GGA) of a relaxed Li3Rh crystal.

Computed properties:
* ΔE_f: -0.2 eV/f.u.
* E_tot: -53.216 eV for the cell shown

a b c (Å): 6.0168 6.0168 6.0168
angles (deg): 90.00 90.00 90.00
Last column: nearest neighbours and their distance in Å.
Space group Fm-3m (No. 225)
Asymmetric unit:
Li  0.0000  0.0000  0.0000  8 Li 2.61
Li  0.2500  0.2500  0.2500  4 Li 2.61, 4 Rh 2.61
Rh  0.0000  0.0000  0.5000  8 Li 2.61

Entry 11:
The following is a DFT calculation (PBE-GGA) of a relaxed KCa2TlPb crystal.

Computed properties:
* ΔE_f: 3.5 eV/f.u.
* E_tot: -7.690 eV for the cell shown

a b c (Å): 6.1579 6.1579 5.7780
angles (deg): 90.00 90.00 90.00
Last column: nearest neighbours and their distance in Å.
Space group P4/mmm (No. 123)
Asymmetric unit:
K  0.0000  0.0000  0.0000  2 Tl 2.89, 4 Ca 3.08
Ca  0.0000  0.5000  0.0000  2 K 3.08
Tl  0.0000  0.0000  0.5000  2 K 2.89
Pb  0.5000  0.5000  0.5000  8 Ca 4.22, 4 Tl 4.35

Entry 12:
The following is a DFT calculation (PBE-GGA) of a relaxed CrIrRh6 crystal.

Computed properties:
* ΔE_f: 4.9 eV/f.u.
* E_tot: -173.111 eV for the cell shown

a b c (Å): 7.3458 7.3458 8.3019
angles (deg): 90.00 90.00 120.00
Last column: nearest neighbours and their distance in Å.
Space group R-3m (No. 166, hexagonal axes)
Asymmetric unit:
Cr  0.0000  0.0000  0.0000  6 Rh 2.28
Ir  0.0000  0.0000  0.5000  6 Rh 2.61
Rh  0.0762  0.5381  0.8572  1 Cr 2.28

- Which of these has the highest E_tot?
  KCa2TlPb